First-principles (GGA-PBE) data for a geometry-optimized Ca3AsAu structure, as listed in Alexandria via LeMat-Bulk.

Geometry as POSCAR:
```
Ca3AsAu
1.0
5.525 0.000 0.000
0.000 5.525 0.000
0.000 0.000 5.525
Ca As Au
3 1 1
Direct
0.000 0.000 0.500
0.000 0.500 0.000
0.500 0.000 0.000
0.000 0.000 0.000
0.500 0.500 0.500
```

Results
Magnetization: 0.00 μB per formula unit
Energy: -3.34 eV/atom
ΔE to the lowest computed polymorph: 0.00 eV/f.u.
Energy relative to the elements: -0.553 eV per atom